A geometry-optimized TePt structure. Source: Alexandria, functional PBE.

Computed properties:
Formation energy (no corrections) = -0.066 eV/atom
Magnetization = 0.00 μB/cell

abc: 7.409 7.409 7.409
angles: 90.00 90.00 90.00
Space group Pm-3n (No. 223)
Unique sites:
Te 0.000 0.250 0.500 (multiplicity 6)
Pt 0.000 0.500 0.250 (multiplicity 6)